## EuLuHgPt (PBE-GGA)

Data for EuLuHgPt after structural relaxation.

* Fermi-level density of states: 32.443 states/eV/cell
* volume: 378.59 Å³/cell
* energy: -6.00 eV per atom
* magnetic moment: 27.77 μB/cell

The structure in CIF format:
```
data_EuLuHgPt
_chemical_formula_sum 'Eu4 Lu4 Hg4 Pt4'
_symmetry_space_group_name_H-M 'F -4 3 m'
_symmetry_Int_Tables_number 216
_symmetry_space_group_name_Hall 'F -4 2 3'
_cell_length_a 7.2342
_cell_length_b 7.2342
_cell_length_c 7.2342
_cell_angle_alpha 90.00
_cell_angle_beta 90.00
_cell_angle_gamma 90.00
loop_
_atom_site_label
_atom_site_type_symbol
_atom_site_fract_x
_atom_site_fract_y
_atom_site_fract_z
Eu1 Eu 0.0000 0.0000 0.0000
Lu1 Lu 0.0000 0.0000 0.5000
Hg1 Hg 0.2500 0.2500 0.7500
Pt1 Pt 0.2500 0.2500 0.2500
```